(1)
TcSe2I after structural relaxation. Source: the Alexandria database, functional PBE-GGA.

* formation energy (no corrections): -0.08 eV/atom
* spin magnetization: 0.000 μB per atom
* E above lowest polymorph: 0.131 eV per atom
* V: 27.59 A^3/atom

CIF file:
```
data_TcSe2I
_chemical_formula_sum 'Tc1 Se2 I1'
_space_group_name_H-M_alt 'P 3 m 1'
_space_group_IT_number 156
_cell_length_a 3.2642
_cell_length_b 3.2642
_cell_length_c 11.9588
_cell_angle_alpha 90.00
_cell_angle_beta 90.00
_cell_angle_gamma 120.00
loop_
_space_group_symop_operation_xyz
'x,y,z'
'-y,x-y,z'
'-x+y,-x,z'
'-y,-x,z'
'-x+y,y,z'
'x,x-y,z'
loop_
_atom_site_label
_atom_site_type_symbol
_atom_site_fract_x
_atom_site_fract_y
_atom_site_fract_z
Tc1 Tc 0.0000 0.0000 0.0000
Se1 Se 0.3333 0.6667 0.8553
Se2 Se 0.6667 0.3333 0.1441
I1 I 0.3333 0.6667 0.4845
```

***

(2)
DyTaPd14 after structural relaxation. Source: the Alexandria database, functional PBE-GGA.

* spin magnetization: 0.000 μB per atom
* energy of formation from the pure elements: -33.8 kJ per mole of atoms
* V: 15.99 A^3/atom

CIF file:
```
data_DyTaPd14
_chemical_formula_sum 'Dy1 Ta1 Pd14'
_space_group_name_H-M_alt 'P 4/m m m'
_space_group_IT_number 123
_space_group_name_Hall '-P 4 2'
_cell_length_a 5.710
_cell_length_b 5.710
_cell_length_c 7.846
_cell_angle_alpha 90.00
_cell_angle_beta 90.00
_cell_angle_gamma 90.00
loop_
_atom_site_label
_atom_site_type_symbol
_atom_site_fract_x
_atom_site_fract_y
_atom_site_fract_z
Dy1 Dy 0.000 0.000 0.000
Ta1 Ta 0.500 0.500 0.000
Pd1 Pd 0.000 0.000 0.500
Pd2 Pd 0.000 0.500 0.000
Pd3 Pd 0.000 0.500 0.500
Pd4 Pd 0.257 0.257 0.249
Pd5 Pd 0.500 0.500 0.500
```

***

Computed VASP energy, in the same sequence as the records: -19.19, -94.75 eV per cell.
Computed density of states at the Fermi level, in the same sequence as the records: 1.661, 1.299 states/eV/atom.